# SrNi2P2H4O10 | the Alexandria database | GGA-PBEsol | optimized geometry
data_SrNi2P2H4O10
_space_group_name_H-M_alt 'P 1'
_space_group_IT_number 1
_space_group_name_Hall 'P 1'
_cell_length_a 5.359
_cell_length_b 5.359
_cell_length_c 7.335
_cell_angle_alpha 109.96
_cell_angle_beta 109.96
_cell_angle_gamma 67.65
loop_
_atom_site_label
_atom_site_fract_x
_atom_site_fract_y
_atom_site_fract_z
Sr1 0.000 0.000 0.000
Ni1 0.000 0.500 0.500
Ni2 0.500 0.000 0.500
P1 0.413 0.413 0.223
P2 0.587 0.587 0.777
H1 0.074 0.074 0.633
H2 0.257 0.257 0.797
H3 0.743 0.743 0.203
H4 0.926 0.926 0.367
O1 0.187 0.187 0.639
O2 0.264 0.695 0.727
O3 0.294 0.294 0.001
O4 0.298 0.298 0.339
O5 0.305 0.736 0.273
O6 0.695 0.264 0.727
O7 0.702 0.702 0.661
O8 0.706 0.706 0.999
O9 0.736 0.305 0.273
O10 0.813 0.813 0.361
# VASP energy: -6.514 eV/atom
# Magnetic moment: 4.04 μB per cell

---

# V2NiP2H6O13 | the Alexandria database | GGA-PBEsol | optimized geometry
data_V2NiP2H6O13
_space_group_name_H-M_alt 'P 1'
_space_group_IT_number 1
_space_group_name_Hall 'P 1'
_cell_length_a 10.300
_cell_length_b 9.388
_cell_length_c 9.458
_cell_angle_alpha 90.00
_cell_angle_beta 90.00
_cell_angle_gamma 90.00
loop_
_atom_site_label
_atom_site_fract_x
_atom_site_fract_y
_atom_site_fract_z
V1 0.035 0.250 0.094
V2 0.162 0.750 0.225
V3 0.338 0.250 0.725
V4 0.465 0.750 0.594
V5 0.535 0.250 0.406
V6 0.662 0.750 0.275
V7 0.838 0.250 0.775
V8 0.965 0.750 0.906
Ni1 0.244 0.750 0.873
Ni2 0.256 0.250 0.373
Ni3 0.744 0.750 0.627
Ni4 0.756 0.250 0.127
P1 0.088 0.050 0.815
P2 0.088 0.450 0.815
P3 0.412 0.550 0.315
P4 0.412 0.950 0.315
P5 0.588 0.050 0.685
P6 0.588 0.450 0.685
P7 0.912 0.550 0.185
P8 0.912 0.950 0.185
H1 0.062 0.750 0.499
H2 0.109 0.021 0.385
H3 0.109 0.479 0.385
H4 0.162 0.070 0.542
H5 0.162 0.430 0.542
H6 0.215 0.750 0.535
H7 0.285 0.250 0.035
H8 0.338 0.570 0.042
H9 0.338 0.930 0.042
H10 0.391 0.521 0.885
H11 0.391 0.979 0.885
H12 0.438 0.250 0.999
H13 0.562 0.750 0.001
H14 0.609 0.021 0.115
H15 0.609 0.479 0.115
H16 0.662 0.070 0.958
H17 0.662 0.430 0.958
H18 0.715 0.750 0.965
H19 0.785 0.250 0.465
H20 0.838 0.570 0.458
H21 0.838 0.930 0.458
H22 0.891 0.521 0.615
H23 0.891 0.979 0.615
H24 0.938 0.250 0.501
O1 0.038 0.595 0.262
O2 0.038 0.905 0.262
O3 0.091 0.617 0.813
O4 0.091 0.883 0.813
O5 0.094 0.104 0.967
O6 0.094 0.396 0.967
O7 0.131 0.104 0.448
O8 0.131 0.396 0.448
O9 0.140 0.750 0.051
O10 0.150 0.750 0.458
O11 0.163 0.250 0.197
O12 0.207 0.100 0.730
O13 0.207 0.400 0.730
O14 0.293 0.600 0.230
O15 0.293 0.900 0.230
O16 0.337 0.750 0.697
O17 0.350 0.250 0.958
O18 0.360 0.250 0.551
O19 0.369 0.604 0.948
O20 0.369 0.896 0.948
O21 0.406 0.604 0.467
O22 0.406 0.896 0.467
O23 0.409 0.117 0.313
O24 0.409 0.383 0.313
O25 0.462 0.095 0.762
O26 0.462 0.405 0.762
O27 0.538 0.595 0.238
O28 0.538 0.905 0.238
O29 0.591 0.617 0.687
O30 0.591 0.883 0.687
O31 0.594 0.104 0.533
O32 0.594 0.396 0.533
O33 0.631 0.104 0.052
O34 0.631 0.396 0.052
O35 0.640 0.750 0.449
O36 0.650 0.750 0.042
O37 0.663 0.250 0.303
O38 0.707 0.100 0.770
O39 0.707 0.400 0.770
O40 0.793 0.600 0.270
O41 0.793 0.900 0.270
O42 0.837 0.750 0.803
O43 0.850 0.250 0.542
O44 0.860 0.250 0.949
O45 0.869 0.604 0.552
O46 0.869 0.896 0.552
O47 0.906 0.604 0.033
O48 0.906 0.896 0.033
O49 0.909 0.117 0.187
O50 0.909 0.383 0.187
O51 0.962 0.095 0.738
O52 0.962 0.405 0.738
# VASP energy: -6.903 eV/atom
# Magnetic moment: 14.30 μB per cell

---

# Rb2NiH12S2O14 | the Alexandria database | GGA-PBEsol | optimized geometry
data_Rb2NiH12S2O14
_space_group_name_H-M_alt 'P 1'
_space_group_IT_number 1
_space_group_name_Hall 'P 1'
_cell_length_a 6.205
_cell_length_b 12.212
_cell_length_c 8.963
_cell_angle_alpha 90.00
_cell_angle_beta 105.49
_cell_angle_gamma 90.00
loop_
_atom_site_label
_atom_site_fract_x
_atom_site_fract_y
_atom_site_fract_z
Rb1 0.158 0.153 0.366
Rb2 0.158 0.347 0.866
Rb3 0.842 0.653 0.134
Rb4 0.842 0.847 0.634
Ni1 0.500 0.000 0.000
Ni2 0.500 0.500 0.500
H1 0.162 0.556 0.599
H2 0.162 0.944 0.099
H3 0.180 0.643 0.472
H4 0.180 0.857 0.972
H5 0.182 0.092 0.790
H6 0.182 0.408 0.290
H7 0.419 0.127 0.757
H8 0.419 0.373 0.257
H9 0.420 0.595 0.223
H10 0.420 0.905 0.723
H11 0.487 0.687 0.353
H12 0.487 0.813 0.853
H13 0.513 0.187 0.147
H14 0.513 0.313 0.647
H15 0.580 0.095 0.277
H16 0.580 0.405 0.777
H17 0.581 0.627 0.743
H18 0.581 0.873 0.243
H19 0.818 0.592 0.710
H20 0.818 0.908 0.210
H21 0.820 0.143 0.028
H22 0.820 0.357 0.528
H23 0.838 0.056 0.901
H24 0.838 0.444 0.401
S1 0.228 0.638 0.903
S2 0.228 0.862 0.403
S3 0.772 0.138 0.597
S4 0.772 0.362 0.097
O1 0.089 0.734 0.918
O2 0.089 0.766 0.418
O3 0.100 0.570 0.769
O4 0.100 0.930 0.269
O5 0.202 0.564 0.499
O6 0.202 0.936 0.999
O7 0.273 0.570 0.044
O8 0.273 0.930 0.544
O9 0.340 0.115 0.839
O10 0.340 0.385 0.339
O11 0.442 0.676 0.873
O12 0.442 0.824 0.373
O13 0.478 0.111 0.172
O14 0.478 0.389 0.672
O15 0.522 0.611 0.328
O16 0.522 0.889 0.828
O17 0.558 0.176 0.627
O18 0.558 0.324 0.127
O19 0.660 0.615 0.661
O20 0.660 0.885 0.161
O21 0.727 0.070 0.456
O22 0.727 0.430 0.956
O23 0.798 0.064 0.001
O24 0.798 0.436 0.501
O25 0.900 0.070 0.731
O26 0.900 0.430 0.231
O27 0.911 0.234 0.582
O28 0.911 0.266 0.082
# VASP energy: -5.489 eV/atom
# Magnetic moment: 4.13 μB per cell